No. 1
A crystal of NaTe3Mo3 relaxed with PBEsol, computed with meta-GGA SCAN.

Lattice parameters (Å, degrees): 9.1634 9.1634 4.5661 90.00 90.00 120.00
With the nearest neighbours (Å) after each atom.
Positions (direct):
Na1 0.3333 0.6667 0.2500  9 Te 3.33-3.61
Na2 0.6667 0.3333 0.7500  9 Te 3.33-3.61
Te1 0.0848 0.3873 0.7500  4 Mo 2.78-2.85
Te2 0.3025 0.9152 0.7500  4 Mo 2.78-2.85
Te3 0.3873 0.3025 0.2500  4 Mo 2.78-2.85
Te4 0.6127 0.6975 0.7500  4 Mo 2.78-2.85
Te5 0.6975 0.0848 0.2500  4 Mo 2.78-2.85
Te6 0.9152 0.6127 0.2500  4 Mo 2.78-2.85
Mo1 0.0418 0.1830 0.2500  6 Mo 2.64-2.74, 4 Te 2.78-2.85
Mo2 0.1411 0.9582 0.2500  6 Mo 2.64-2.74, 4 Te 2.78-2.85
Mo3 0.1830 0.1411 0.7500  6 Mo 2.64-2.74, 4 Te 2.78-2.85
Mo4 0.8170 0.8589 0.2500  6 Mo 2.64-2.74, 4 Te 2.78-2.85
Mo5 0.8589 0.0418 0.7500  6 Mo 2.64-2.74, 4 Te 2.78-2.85
Mo6 0.9582 0.8170 0.7500  6 Mo 2.64-2.74, 4 Te 2.78-2.85

Its raw total energy is -447.66 eV per cell. The calculation puts the uncorrected formation energy at -10.6 kcal/mol of atoms. As for the theoretical density: 6.94 g/cm3.

***

No. 2
A crystal of NaTl3Mo relaxed with PBEsol, computed with meta-GGA SCAN.

Lattice parameters (Å, degrees): 5.3186 5.3186 5.3186 90.00 90.00 90.00
With the nearest neighbours (Å) after each atom.
Positions (direct):
Na1 0.0000 0.0000 0.0000  12 Tl 3.76
Tl1 0.0000 0.5000 0.5000  2 Mo 2.66
Tl2 0.5000 0.0000 0.5000  2 Mo 2.66
Tl3 0.5000 0.5000 0.0000  2 Mo 2.66
Mo1 0.5000 0.5000 0.5000  6 Tl 2.66

Its raw total energy is -254.47 eV per cell. As for the theoretical density: 8.08 g/cm3. The formation energy is 0.3413 eV per atom.

***

No. 3
A crystal of NaZrMo2 relaxed with PBEsol, computed with meta-GGA SCAN.

Lattice parameters (Å, degrees): 6.5701 6.5701 6.5701 90.00 90.00 90.00
With the nearest neighbours (Å) after each atom.
Positions (direct):
Na1 0.0000 0.0000 0.0000  8 Mo 2.84
Na2 0.0000 0.5000 0.5000  8 Mo 2.84
Na3 0.5000 0.0000 0.5000  8 Mo 2.84
Na4 0.5000 0.5000 0.0000  8 Mo 2.84
Zr1 0.0000 0.0000 0.5000  8 Mo 2.84
Zr2 0.0000 0.5000 0.0000  8 Mo 2.84
Zr3 0.5000 0.0000 0.0000  8 Mo 2.84
Zr4 0.5000 0.5000 0.5000  8 Mo 2.84
Mo1 0.2500 0.2500 0.2500  4 Na 2.84, 4 Zr 2.84
Mo2 0.2500 0.2500 0.7500  4 Zr 2.84, 4 Na 2.84
Mo3 0.2500 0.7500 0.2500  4 Zr 2.84, 4 Na 2.84
Mo4 0.2500 0.7500 0.7500  4 Zr 2.84, 4 Na 2.84
Mo5 0.7500 0.2500 0.2500  4 Zr 2.84, 4 Na 2.84
Mo6 0.7500 0.2500 0.7500  4 Zr 2.84, 4 Na 2.84
Mo7 0.7500 0.7500 0.2500  4 Zr 2.84, 4 Na 2.84
Mo8 0.7500 0.7500 0.7500  4 Zr 2.84, 4 Na 2.84

Its raw total energy is -401.21 eV per cell. As for the theoretical density: 7.17 g/cm3. The formation energy is 1.0952 eV per atom.

***

No. 4
A crystal of Na3ZrMo relaxed with PBEsol, computed with meta-GGA SCAN.

Lattice parameters (Å, degrees): 5.8928 5.8928 5.8928 90.00 90.00 90.00
With the nearest neighbours (Å) after each atom.
Positions (direct):
Na1 0.0000 0.0000 0.5000  2 Zr 2.95
Na2 0.0000 0.5000 0.0000  2 Zr 2.95
Na3 0.5000 0.0000 0.0000  2 Zr 2.95
Zr1 0.0000 0.0000 0.0000  6 Na 2.95
Mo1 0.5000 0.5000 0.5000  12 Na 4.17

Its raw total energy is -68.04 eV per cell. As for the theoretical density: 2.08 g/cm3. The formation energy is 2.0378 eV per atom.

***

No. 5
A crystal of NbNi6Mo relaxed with PBEsol, computed with meta-GGA SCAN.

Lattice parameters (Å, degrees): 4.1900 5.0105 4.4491 90.00 90.00 90.00
With the nearest neighbours (Å) after each atom.
Positions (direct):
Nb1 0.0000 0.0000 0.0000  12 Ni 2.51-2.59
Ni1 0.0000 0.2560 0.5067  8 Ni 2.44-2.57, 2 Nb 2.54-2.59, 2 Mo 2.56
Ni2 0.0000 0.5000 0.0126  2 Nb 2.51, 8 Ni 2.52-2.56, 2 Mo 2.53
Ni3 0.0000 0.7440 0.5067  8 Ni 2.44-2.57, 2 Nb 2.54-2.59, 2 Mo 2.56
Ni4 0.5000 0.0000 0.6643  8 Ni 2.47-2.66, 2 Mo 2.51, 2 Nb 2.57
Ni5 0.5000 0.2548 0.1880  8 Ni 2.46-2.66, 2 Mo 2.52-2.56, 2 Nb 2.59
Ni6 0.5000 0.7452 0.1880  8 Ni 2.46-2.66, 2 Mo 2.52-2.56, 2 Nb 2.59
Mo1 0.5000 0.5000 0.6935  12 Ni 2.51-2.56

Its raw total energy is -166.29 eV per cell. As for the theoretical density: 9.62 g/cm3. The formation energy is -0.1547 eV per atom.

***

No. 6
A crystal of NbMoOs2 relaxed with PBEsol, computed with meta-GGA SCAN.

Lattice parameters (Å, degrees): 6.2568 6.2568 6.2568 90.00 90.00 90.00
With the nearest neighbours (Å) after each atom.
Positions (direct):
Nb1 0.0000 0.0000 0.0000  8 Os 2.71
Nb2 0.0000 0.5000 0.5000  8 Os 2.71
Nb3 0.5000 0.0000 0.5000  8 Os 2.71
Nb4 0.5000 0.5000 0.0000  8 Os 2.71
Mo1 0.0000 0.0000 0.5000  8 Os 2.71
Mo2 0.0000 0.5000 0.0000  8 Os 2.71
Mo3 0.5000 0.0000 0.0000  8 Os 2.71
Mo4 0.5000 0.5000 0.5000  8 Os 2.71
Os1 0.2500 0.2500 0.2500  4 Nb 2.71, 4 Mo 2.71
Os2 0.2500 0.2500 0.7500  4 Nb 2.71, 4 Mo 2.71
Os3 0.2500 0.7500 0.2500  4 Nb 2.71, 4 Mo 2.71
Os4 0.2500 0.7500 0.7500  4 Nb 2.71, 4 Mo 2.71
Os5 0.7500 0.2500 0.2500  4 Nb 2.71, 4 Mo 2.71
Os6 0.7500 0.2500 0.7500  4 Nb 2.71, 4 Mo 2.71
Os7 0.7500 0.7500 0.2500  4 Nb 2.71, 4 Mo 2.71
Os8 0.7500 0.7500 0.7500  4 Nb 2.71, 4 Mo 2.71

Its raw total energy is -845.18 eV per cell. As for the theoretical density: 15.44 g/cm3. The formation energy is 0.1201 eV per atom.

***

No. 7
A crystal of YNbMo2Os relaxed with PBEsol, computed with meta-GGA SCAN.

Lattice parameters (Å, degrees): 4.5879 4.5879 5.0663 90.00 90.00 90.00
With the nearest neighbours (Å) after each atom.
Positions (direct):
Y1 0.0000 0.0000 0.0000  2 Nb 2.53
Nb1 0.0000 0.0000 0.5000  4 Mo 2.29, 2 Y 2.53
Mo1 0.0000 0.5000 0.5000  2 Nb 2.29
Mo2 0.5000 0.0000 0.5000  2 Nb 2.29
Os1 0.5000 0.5000 0.0000  4 Y 3.24, 8 Mo 3.42

Its raw total energy is -192.30 eV per cell. As for the theoretical density: 8.78 g/cm3. The formation energy is 2.0642 eV per atom.

***

No. 8
A crystal of NbMoP2S relaxed with PBEsol, computed with meta-GGA SCAN.

Lattice parameters (Å, degrees): 4.6137 4.6137 4.5229 90.00 90.00 90.00
With the nearest neighbours (Å) after each atom.
Positions (direct):
Nb1 0.0000 0.0000 0.0000  8 P 3.23, 4 S 3.26
Mo1 0.5000 0.5000 0.5000  2 S 2.26, 4 P 2.31
P1 0.0000 0.5000 0.5000  2 Mo 2.31
P2 0.5000 0.0000 0.5000  2 Mo 2.31
S1 0.5000 0.5000 0.0000  2 Mo 2.26

Its raw total energy is -95.16 eV per cell. The calculation puts the uncorrected formation energy at 15.1 kcal/mol of atoms. As for the theoretical density: 4.88 g/cm3.

***

No. 9
A crystal of NbMoPt2 relaxed with PBEsol, computed with meta-GGA SCAN.

Lattice parameters (Å, degrees): 6.3527 6.3527 6.3527 90.00 90.00 90.00
With the nearest neighbours (Å) after each atom.
Positions (direct):
Nb1 0.0000 0.0000 0.0000  8 Pt 2.75
Nb2 0.0000 0.5000 0.5000  8 Pt 2.75
Nb3 0.5000 0.0000 0.5000  8 Pt 2.75
Nb4 0.5000 0.5000 0.0000  8 Pt 2.75
Mo1 0.0000 0.0000 0.5000  8 Pt 2.75
Mo2 0.0000 0.5000 0.0000  8 Pt 2.75
Mo3 0.5000 0.0000 0.0000  8 Pt 2.75
Mo4 0.5000 0.5000 0.5000  8 Pt 2.75
Pt1 0.2500 0.2500 0.2500  4 Nb 2.75, 4 Mo 2.75
Pt2 0.2500 0.2500 0.7500  4 Mo 2.75, 4 Nb 2.75
Pt3 0.2500 0.7500 0.2500  4 Mo 2.75, 4 Nb 2.75
Pt4 0.2500 0.7500 0.7500  4 Nb 2.75, 4 Mo 2.75
Pt5 0.7500 0.2500 0.2500  4 Mo 2.75, 4 Nb 2.75
Pt6 0.7500 0.2500 0.7500  4 Nb 2.75, 4 Mo 2.75
Pt7 0.7500 0.7500 0.2500  4 Nb 2.75, 4 Mo 2.75
Pt8 0.7500 0.7500 0.7500  4 Mo 2.75, 4 Nb 2.75

Its raw total energy is -834.75 eV per cell. As for the theoretical density: 15.00 g/cm3. The formation energy is -0.0717 eV per atom.

***

No. 10
A crystal of NbMoRuPt2 relaxed with PBEsol, computed with meta-GGA SCAN.

Lattice parameters (Å, degrees): 4.7381 4.7381 4.4091 90.00 90.00 90.00
With the nearest neighbours (Å) after each atom.
Positions (direct):
Nb1 0.0000 0.0000 0.0000  8 Pt 3.24, 4 Mo 3.35
Mo1 0.5000 0.5000 0.0000  2 Ru 2.20
Ru1 0.5000 0.5000 0.5000  2 Mo 2.20, 4 Pt 2.37
Pt1 0.0000 0.5000 0.5000  2 Ru 2.37
Pt2 0.5000 0.0000 0.5000  2 Ru 2.37

Its raw total energy is -236.46 eV per cell. As for the theoretical density: 11.41 g/cm3. The formation energy is 1.3538 eV per atom.

***

No. 11
A crystal of ZrNb2ReMo relaxed with PBEsol, computed with meta-GGA SCAN.

Lattice parameters (Å, degrees): 4.7073 4.7073 4.7236 90.00 90.00 90.00
With the nearest neighbours (Å) after each atom.
Positions (direct):
Zr1 0.0000 0.0000 0.0000  4 Re 3.33, 8 Nb 3.33
Nb1 0.0000 0.5000 0.5000  2 Mo 2.35
Nb2 0.5000 0.0000 0.5000  2 Mo 2.35
Re1 0.5000 0.5000 0.0000  2 Mo 2.36
Mo1 0.5000 0.5000 0.5000  4 Nb 2.35, 2 Re 2.36

Its raw total energy is -197.22 eV per cell. As for the theoretical density: 8.87 g/cm3. The formation energy is 1.1449 eV per atom.

***

No. 12
A crystal of NbMoS3 relaxed with PBEsol, computed with meta-GGA SCAN.

Lattice parameters (Å, degrees): 6.1403 3.2248 8.6204 90.00 103.49 90.00
With the nearest neighbours (Å) after each atom.
Positions (direct):
Nb1 0.1947 0.2500 0.4920  6 S 2.43-2.69
Nb2 0.8053 0.7500 0.5080  6 S 2.43-2.69
Mo1 0.3866 0.2500 0.8763  6 S 2.33-2.58
Mo2 0.6134 0.7500 0.1237  6 S 2.33-2.58
S1 0.0053 0.7500 0.2947  3 Nb 2.43-2.44, 1 Mo 2.51
S2 0.2282 0.7500 0.0173  3 Mo 2.33-2.36
S3 0.4752 0.7500 0.6659  3 Nb 2.57-2.69, 2 Mo 2.58
S4 0.5248 0.2500 0.3341  3 Nb 2.57-2.69, 2 Mo 2.58
S5 0.7718 0.2500 0.9827  3 Mo 2.33-2.36
S6 0.9947 0.2500 0.7053  3 Nb 2.43-2.44, 1 Mo 2.51

Its raw total energy is -203.70 eV per cell. The calculation puts the uncorrected formation energy at -22.8 kcal/mol of atoms. As for the theoretical density: 5.70 g/cm3.

***

No. 13
A crystal of NbSnMo2S relaxed with PBEsol, computed with meta-GGA SCAN.

Lattice parameters (Å, degrees): 4.3201 4.3201 5.0616 90.00 90.00 90.00
With the nearest neighbours (Å) after each atom.
Positions (direct):
Nb1 0.0000 0.0000 0.0000  4 Sn 3.05, 8 Mo 3.33
Sn1 0.5000 0.5000 0.0000  2 S 2.53
Mo1 0.0000 0.5000 0.5000  2 S 2.16
Mo2 0.5000 0.0000 0.5000  2 S 2.16
S1 0.5000 0.5000 0.5000  4 Mo 2.16

Its raw total energy is -144.24 eV per cell. The calculation puts the uncorrected formation energy at 19.4 kcal/mol of atoms. As for the theoretical density: 7.66 g/cm3.

***

No. 14
A crystal of NbSb2Mo relaxed with PBEsol, computed with meta-GGA SCAN.

Lattice parameters (Å, degrees): 4.1566 4.1566 19.2760 90.00 90.00 90.00
With the nearest neighbours (Å) after each atom.
Positions (direct):
Nb1 0.0000 0.0000 0.0000  4 Sb 2.83, 4 Mo 2.94
Nb2 0.0000 0.5000 0.2500  4 Sb 2.83, 4 Mo 2.94
Nb3 0.5000 0.0000 0.7500  4 Sb 2.83, 4 Mo 2.94
Nb4 0.5000 0.5000 0.5000  4 Sb 2.83, 4 Mo 2.94
Sb1 0.2442 0.2500 0.6250  2 Mo 2.81, 2 Nb 2.83, 4 Sb 2.91-2.97
Sb2 0.2500 0.7442 0.8750  2 Mo 2.81, 2 Nb 2.83, 4 Sb 2.91-2.97
Sb3 0.2500 0.7558 0.3750  2 Mo 2.81, 2 Nb 2.83, 4 Sb 2.91-2.97
Sb4 0.2558 0.2500 0.1250  2 Mo 2.81, 2 Nb 2.83, 4 Sb 2.91-2.97
Sb5 0.7442 0.7500 0.1250  2 Mo 2.81, 2 Nb 2.83, 4 Sb 2.91-2.97
Sb6 0.7500 0.2442 0.3750  2 Mo 2.81, 2 Nb 2.83, 4 Sb 2.91-2.97
Sb7 0.7500 0.2558 0.8750  2 Mo 2.81, 2 Nb 2.83, 4 Sb 2.91-2.97
Sb8 0.7558 0.7500 0.6250  2 Mo 2.81, 2 Nb 2.83, 4 Sb 2.91-2.97
Mo1 0.0000 0.0000 0.5000  4 Sb 2.81, 4 Nb 2.94
Mo2 0.0000 0.5000 0.7500  4 Sb 2.81, 4 Nb 2.94
Mo3 0.5000 0.0000 0.2500  4 Sb 2.81, 4 Nb 2.94
Mo4 0.5000 0.5000 0.0000  4 Sb 2.81, 4 Nb 2.94

Its raw total energy is -561.22 eV per cell. The calculation puts the uncorrected formation energy at 12.9 kcal/mol of atoms. As for the theoretical density: 8.62 g/cm3.